FeAg2PbF6 | GGA+U | relaxed

Cell lengths 6.003, 6.086, 10.463 Å; angles 90.00, 124.25, 90.00 degrees
Space group P2_1/c (No. 14)
Inequivalent atoms, fractional coordinates:
Fe1 0.000 0.000 0.000 [2 per cell]
Ag1 0.230 0.063 0.748 [4 per cell]
Pb1 0.500 0.000 0.500 [2 per cell]
F1 0.097 0.215 0.437 [4 per cell]
F2 0.211 0.677 0.425 [4 per cell]
F3 0.357 0.057 0.229 [4 per cell]

Computed properties:
final energy = -4.454 eV/atom